(1)
Pm2Dy7Tm3 | the Alexandria database | PBE | relaxed; density of states at the Fermi level = 1.61 states/eV/atom; density = 7.930 g/cm3; volume = 405.0 Å³/cell; magnetic moment = 0.001 μB/cell; space-group type = P2/m; energy of formation = 0.318 eV/atom
1.0
6.132 0.000 0.000
0.000 5.430 0.000
-0.144 0.000 12.165
Pm Dy Tm
2 7 3
Cartesian
0.534 0.000 3.388
5.454 0.000 8.777
0.251 2.715 10.021
1.542 0.000 6.616
2.451 0.000 10.101
3.066 2.715 0.000
3.538 0.000 2.064
4.447 0.000 5.549
5.738 2.715 2.144
0.000 0.000 0.000
2.684 2.715 4.188
3.305 2.715 7.977

(2)
NdY6Ho | the Alexandria database | PBE | relaxed; density of states at the Fermi level = 1.75 states/eV/atom; density = 5.224 g/cm3; volume = 267.8 Å³/cell; magnetic moment = 0.000 μB/cell; space-group type = R-3; energy of formation = 0.152 eV/atom
1.0
4.829 2.788 3.315
-4.829 2.788 3.315
0.000 -5.577 3.315
Nd Y Ho
1 6 1
Cartesian
0.000 0.000 0.000
-1.995 -2.780 4.131
-3.405 0.337 5.815
-1.410 3.117 4.131
1.410 -3.117 5.815
3.405 -0.337 4.131
1.995 2.780 5.815
0.000 0.000 4.973

(3)
VZn2Ir2 | the Alexandria database | PBE | relaxed; density of states at the Fermi level = 0.61 states/eV/atom; density = 12.734 g/cm3; volume = 73.8 Å³/cell; magnetic moment = 0.242 μB/cell; space-group type = Cmmm; energy of formation = -0.318 eV/atom
1.0
1.401 -9.272 0.000
1.401 9.272 0.000
0.000 0.000 2.841
V Zn Ir
1 2 2
Cartesian
0.000 0.000 0.000
1.401 5.771 0.000
1.401 -5.771 0.000
1.401 1.687 1.421
1.401 -1.687 1.421

(4)
TlZnSn | the Alexandria database | PBE | relaxed; density of states at the Fermi level = 0.37 states/eV/atom; density = 8.258 g/cm3; volume = 156.2 Å³/cell; magnetic moment = 0.000 μB/cell; space-group type = C2/m; energy of formation = 0.067 eV/atom
1.0
3.074 -3.075 0.000
3.074 3.075 0.000
-0.018 0.000 8.265
Tl Zn Sn
2 2 2
Cartesian
1.536 0.000 1.108
4.593 0.000 7.156
3.065 1.531 4.132
3.065 -1.531 4.132
1.523 0.000 5.952
4.606 0.000 2.312

(5)
La3Nd4Er4 | the Alexandria database | PBE | relaxed; density of states at the Fermi level = 1.46 states/eV/atom; density = 7.390 g/cm3; volume = 373.6 Å³/cell; magnetic moment = 0.000 μB/cell; space-group type = Immm; energy of formation = 0.022 eV/atom
1.0
-1.825 2.575 19.877
1.825 -2.575 19.877
1.825 2.575 -19.877
La Nd Er
3 4 4
Cartesian
0.000 0.000 0.000
0.000 0.000 14.422
0.000 0.000 25.331
0.000 0.000 7.311
0.000 0.000 18.023
0.000 0.000 21.731
0.000 0.000 32.443
0.000 0.000 3.632
0.000 0.000 10.799
0.000 0.000 28.955
0.000 0.000 36.122

(6)
Hf3Te | the Alexandria database | PBE | relaxed; density of states at the Fermi level = 0.92 states/eV/atom; density = 11.095 g/cm3; volume = 99.2 Å³/cell; magnetic moment = 0.000 μB/cell; space-group type = Pmm2; formation energy without anion corrections = 73 meV per atom
1.0
3.355 0.000 0.000
0.000 3.369 0.000
0.000 0.000 8.779
Hf Te
3 1
Cartesian
0.000 0.000 0.000
0.000 1.685 2.699
1.678 1.685 6.796
1.678 0.000 4.357

(7)
Mg8Ge2Rh | the Alexandria database | PBE | relaxed; density of states at the Fermi level = 0.28 states/eV/atom; density = 3.374 g/cm3; volume = 217.8 Å³/cell; magnetic moment = 0.000 μB/cell; space-group type = C2/m; energy of formation = -0.233 eV/atom
1.0
7.847 -2.261 0.000
7.847 2.261 0.000
-2.687 0.000 6.139
Mg Ge Rh
8 2 1
Cartesian
-0.416 0.000 1.847
0.817 0.000 4.724
3.814 0.000 3.456
6.174 0.000 0.412
6.833 0.000 5.726
9.192 0.000 2.683
12.190 0.000 1.415
13.423 0.000 4.292
2.332 0.000 1.116
10.675 0.000 5.023
6.503 0.000 3.069

(8)
Na2SnC | the Alexandria database | PBE | relaxed; density of states at the Fermi level = 0.00 states/eV/atom; density = 3.668 g/cm3; volume = 80.0 Å³/cell; magnetic moment = 0.000 μB/cell; space-group type = Fm-3m; energy of formation = 1.211 eV/atom
1.0
0.000 3.420 3.420
3.420 0.000 3.420
3.420 3.420 0.000
Na Sn C
2 1 1
Cartesian
1.710 1.710 1.710
5.130 5.130 5.130
0.000 0.000 0.000
3.420 3.420 3.420

Repeat the sixth record exactly.
Hf3Te | the Alexandria database | PBE | relaxed; density of states at the Fermi level = 0.92 states/eV/atom; density = 11.095 g/cm3; volume = 99.2 Å³/cell; magnetic moment = 0.000 μB/cell; space-group type = Pmm2; formation energy without anion corrections = 73 meV per atom
1.0
3.355 0.000 0.000
0.000 3.369 0.000
0.000 0.000 8.779
Hf Te
3 1
Cartesian
0.000 0.000 0.000
0.000 1.685 2.699
1.678 1.685 6.796
1.678 0.000 4.357

Question: The lowest volume belongs to which entry?
Answer: VZn2Ir2